Entry 1:
# AgPtAu | OQMD | GGA-PBE | relaxed
# * energy above the most stable polymorph in this dataset: 0.0 meV/atom
# * calculated formation energy: 0.31 eV per atom
# * V: 20.3 A^3/atom
data_AgPtAu
_chemical_formula_sum 'Ag1 Pt1 Au1'
_cell_length_a 4.4175
_cell_length_b 4.4175
_cell_length_c 4.4175
_cell_angle_alpha 60.00
_cell_angle_beta 60.00
_cell_angle_gamma 60.00
_space_group_name_H-M_alt 'P 1'
_space_group_IT_number 1
loop_
_space_group_symop_operation_xyz
'x,y,z'
loop_
_atom_site_label
_atom_site_fract_x
_atom_site_fract_y
_atom_site_fract_z
Ag1 0.0000 0.0000 0.0000
Pt1 0.2500 0.2500 0.2500
Au1 0.5000 0.5000 0.5000

=====

Entry 2:
# PuAgAu | OQMD | GGA-PBE | relaxed
# * calculated formation energy: -0.35 eV per atom
# * V: 21.5 A^3/atom
data_PuAgAu
_chemical_formula_sum 'Pu1 Ag1 Au1'
_cell_length_a 4.9491
_cell_length_b 4.9491
_cell_length_c 3.0357
_cell_angle_alpha 90.00
_cell_angle_beta 90.00
_cell_angle_gamma 120.00
_space_group_name_H-M_alt 'P 1'
_space_group_IT_number 1
loop_
_space_group_symop_operation_xyz
'x,y,z'
loop_
_atom_site_label
_atom_site_fract_x
_atom_site_fract_y
_atom_site_fract_z
Pu1 0.0000 0.0000 0.0000
Ag1 0.6667 0.3333 0.5000
Au1 0.3333 0.6667 0.5000

=====

Entry 3:
# RbAgAu | OQMD | GGA-PBE | relaxed
# * energy above the most stable polymorph in this dataset: 0.0 meV/atom
# * V: 33.6 A^3/atom
data_RbAgAu
_chemical_formula_sum 'Rb1 Ag1 Au1'
_cell_length_a 5.2228
_cell_length_b 5.2228
_cell_length_c 5.2228
_cell_angle_alpha 60.00
_cell_angle_beta 60.00
_cell_angle_gamma 60.00
_space_group_name_H-M_alt 'P 1'
_space_group_IT_number 1
loop_
_space_group_symop_operation_xyz
'x,y,z'
loop_
_atom_site_label
_atom_site_fract_x
_atom_site_fract_y
_atom_site_fract_z
Rb1 0.0000 0.0000 0.0000
Ag1 0.5000 0.5000 0.5000
Au1 0.7500 0.7500 0.7500

=====

Entry 4:
# Rb4AgSb2Au | OQMD | GGA-PBE | relaxed
# * V: 38.5 A^3/atom
# * E: -2.719 eV/atom
data_Rb4AgSb2Au
_chemical_formula_sum 'Rb4 Ag1 Sb2 Au1'
_cell_length_a 6.9119
_cell_length_b 6.9119
_cell_length_c 6.7026
_cell_angle_alpha 90.12
_cell_angle_beta 90.12
_cell_angle_gamma 105.96
_space_group_name_H-M_alt 'P 1'
_space_group_IT_number 1
loop_
_space_group_symop_operation_xyz
'x,y,z'
loop_
_atom_site_label
_atom_site_fract_x
_atom_site_fract_y
_atom_site_fract_z
Rb1 0.0173 0.6753 0.7531
Rb2 0.3247 0.9827 0.2469
Rb3 0.6753 0.0173 0.7531
Rb4 0.9827 0.3247 0.2469
Ag1 0.5000 0.5000 0.5000
Sb1 0.2442 0.2442 0.7510
Sb2 0.7558 0.7558 0.2490
Au1 0.5000 0.5000 0.0000

=====

Entry 5:
# RbTaAgAu | OQMD | GGA-PBE | relaxed
# * energy above the most stable polymorph in this dataset: 193.5 meV/atom
# * V: 21.3 A^3/atom
data_RbTaAgAu
_chemical_formula_sum 'Rb1 Ta1 Ag1 Au1'
_cell_length_a 4.9396
_cell_length_b 4.9396
_cell_length_c 4.9396
_cell_angle_alpha 60.00
_cell_angle_beta 60.00
_cell_angle_gamma 60.00
_space_group_name_H-M_alt 'P 1'
_space_group_IT_number 1
loop_
_space_group_symop_operation_xyz
'x,y,z'
loop_
_atom_site_label
_atom_site_fract_x
_atom_site_fract_y
_atom_site_fract_z
Rb1 0.0000 0.0000 0.0000
Ta1 0.2500 0.2500 0.2500
Ag1 0.5000 0.5000 0.5000
Au1 0.7500 0.7500 0.7500

=====

Entry 6:
# RbTaAgAu | OQMD | GGA-PBE | relaxed
# * energy above the most stable polymorph in this dataset: 8.9 meV/atom
# * V: 20.8 A^3/atom
data_RbTaAgAu
_chemical_formula_sum 'Rb1 Ta1 Ag1 Au1'
_cell_length_a 4.9037
_cell_length_b 4.9037
_cell_length_c 4.9037
_cell_angle_alpha 60.00
_cell_angle_beta 60.00
_cell_angle_gamma 60.00
_space_group_name_H-M_alt 'P 1'
_space_group_IT_number 1
loop_
_space_group_symop_operation_xyz
'x,y,z'
loop_
_atom_site_label
_atom_site_fract_x
_atom_site_fract_y
_atom_site_fract_z
Rb1 0.0000 0.0000 0.0000
Ta1 0.2500 0.2500 0.2500
Ag1 0.7500 0.7500 0.7500
Au1 0.5000 0.5000 0.5000

=====

Entry 7:
# RbTaAgAu | OQMD | GGA-PBE | relaxed
# * energy above the most stable polymorph in this dataset: 0.0 meV/atom
# * V: 23.7 A^3/atom
data_RbTaAgAu
_chemical_formula_sum 'Rb1 Ta1 Ag1 Au1'
_cell_length_a 5.1164
_cell_length_b 5.1164
_cell_length_c 5.1164
_cell_angle_alpha 60.00
_cell_angle_beta 60.00
_cell_angle_gamma 60.00
_space_group_name_H-M_alt 'P 1'
_space_group_IT_number 1
loop_
_space_group_symop_operation_xyz
'x,y,z'
loop_
_atom_site_label
_atom_site_fract_x
_atom_site_fract_y
_atom_site_fract_z
Rb1 0.0000 0.0000 0.0000
Ta1 0.5000 0.5000 0.5000
Ag1 0.2500 0.2500 0.2500
Au1 0.7500 0.7500 0.7500

=====

Entry 8:
# Rb2AgTe2Au | OQMD | GGA-PBE | relaxed
# * V: 34.5 A^3/atom
# * E: -3.056 eV/atom
data_Rb2AgTe2Au
_chemical_formula_sum 'Rb2 Ag1 Te2 Au1'
_cell_length_a 4.8020
_cell_length_b 4.8020
_cell_length_c 10.3626
_cell_angle_alpha 90.00
_cell_angle_beta 90.00
_cell_angle_gamma 120.00
_space_group_name_H-M_alt 'P 1'
_space_group_IT_number 1
loop_
_space_group_symop_operation_xyz
'x,y,z'
loop_
_atom_site_label
_atom_site_fract_x
_atom_site_fract_y
_atom_site_fract_z
Rb1 0.0000 0.0000 0.2498
Rb2 0.0000 0.0000 0.7502
Ag1 0.3333 0.6667 0.0000
Te1 0.3333 0.6667 0.5000
Te2 0.6667 0.3333 0.0000
Au1 0.6667 0.3333 0.5000

=====

Entry 9:
# Re2AgAu | OQMD | GGA-PBE | relaxed
# * calculated formation energy: 0.78 eV per atom
# * V: 16.2 A^3/atom
data_Re2AgAu
_chemical_formula_sum 'Re2 Ag1 Au1'
_cell_length_a 4.5089
_cell_length_b 4.5089
_cell_length_c 4.5089
_cell_angle_alpha 60.00
_cell_angle_beta 60.00
_cell_angle_gamma 60.00
_space_group_name_H-M_alt 'P 1'
_space_group_IT_number 1
loop_
_space_group_symop_operation_xyz
'x,y,z'
loop_
_atom_site_label
_atom_site_fract_x
_atom_site_fract_y
_atom_site_fract_z
Re1 0.0000 0.0000 0.0000
Re2 0.2500 0.2500 0.2500
Ag1 0.7500 0.7500 0.7500
Au1 0.5000 0.5000 0.5000

=====

Entry 10:
# Ag3AuS2 | OQMD | GGA-PBE | relaxed
# * V: 20.0 A^3/atom
# * E: -3.381 eV/atom
data_Ag3AuS2
_chemical_formula_sum 'Ag24 Au8 S16'
_cell_length_a 9.8637
_cell_length_b 9.8637
_cell_length_c 9.8637
_cell_angle_alpha 90.00
_cell_angle_beta 90.00
_cell_angle_gamma 90.00
_space_group_name_H-M_alt 'P 1'
_space_group_IT_number 1
loop_
_space_group_symop_operation_xyz
'x,y,z'
loop_
_atom_site_label
_atom_site_fract_x
_atom_site_fract_y
_atom_site_fract_z
Ag1 0.0005 0.2508 0.3839
Ag2 0.0008 0.2505 0.8661
Ag3 0.1161 0.9995 0.7508
Ag4 0.1339 0.5008 0.2495
Ag5 0.2495 0.1339 0.5008
Ag6 0.2492 0.6161 0.5005
Ag7 0.2508 0.3839 0.0005
Ag8 0.2505 0.8661 0.0008
Ag9 0.3661 0.4992 0.7495
Ag10 0.3839 0.0005 0.2508
Ag11 0.4992 0.7495 0.3661
Ag12 0.4995 0.7492 0.8839
Ag13 0.5008 0.2495 0.1339
Ag14 0.5005 0.2492 0.6161
Ag15 0.6161 0.5005 0.2492
Ag16 0.6339 0.9992 0.7505
Ag17 0.7495 0.3661 0.4992
Ag18 0.7492 0.8839 0.4995
Ag19 0.7508 0.1161 0.9995
Ag20 0.7505 0.6339 0.9992
Ag21 0.8661 0.0008 0.2505
Ag22 0.8839 0.4995 0.7492
Ag23 0.9995 0.7508 0.1161
Ag24 0.9992 0.7505 0.6339
Au1 0.1238 0.8762 0.3762
Au2 0.1262 0.1262 0.1262
Au3 0.3738 0.8738 0.6262
Au4 0.3762 0.1238 0.8762
Au5 0.6238 0.6238 0.6238
Au6 0.6262 0.3738 0.8738
Au7 0.8738 0.6262 0.3738
Au8 0.8762 0.3762 0.1238
S1 0.0126 0.4874 0.5126
S2 0.0149 0.5149 0.9851
S3 0.2351 0.7351 0.7649
S4 0.2374 0.2626 0.7374
S5 0.2626 0.7374 0.2374
S6 0.2649 0.2649 0.2649
S7 0.4851 0.4851 0.4851
S8 0.4874 0.5126 0.0126
S9 0.5126 0.0126 0.4874
S10 0.5149 0.9851 0.0149
S11 0.7351 0.7649 0.2351
S12 0.7374 0.2374 0.2626
S13 0.7626 0.7626 0.7626
S14 0.7649 0.2351 0.7351
S15 0.9851 0.0149 0.5149
S16 0.9874 0.9874 0.9874

=====

Entry 11:
# TlAg3Sb7Au3S6 | OQMD | GGA-PBE | relaxed
# * V: 25.8 A^3/atom
# * E: -3.748 eV/atom
data_TlAg3Sb7Au3S6
_chemical_formula_sum 'Tl2 Ag6 Sb14 Au6 S12'
_cell_length_a 6.3078
_cell_length_b 7.8387
_cell_length_c 20.9046
_cell_angle_alpha 90.49
_cell_angle_beta 91.42
_cell_angle_gamma 90.43
_space_group_name_H-M_alt 'P 1'
_space_group_IT_number 1
loop_
_space_group_symop_operation_xyz
'x,y,z'
loop_
_atom_site_label
_atom_site_fract_x
_atom_site_fract_y
_atom_site_fract_z
Tl1 0.0000 0.0000 0.0000
Tl2 0.2567 0.5259 0.0274
Ag1 0.1056 0.4248 0.4378
Ag2 0.1351 0.4401 0.7314
Ag3 0.1549 0.3539 0.1559
Ag4 0.5979 0.8884 0.1524
Ag5 0.6139 0.9624 0.4525
Ag6 0.6428 0.9551 0.7412
Sb1 0.0118 0.5171 0.8544
Sb2 0.1972 0.0023 0.1857
Sb3 0.2076 0.0579 0.4798
Sb4 0.2405 0.0570 0.7701
Sb5 0.4592 0.8191 0.3408
Sb6 0.4763 0.0440 0.0340
Sb7 0.4900 0.8343 0.6263
Sb8 0.5174 0.8076 0.9191
Sb9 0.6936 0.3333 0.4100
Sb10 0.7185 0.3041 0.1630
Sb11 0.7215 0.3394 0.7020
Sb12 0.7433 0.3397 0.0145
Sb13 0.9533 0.5441 0.2613
Sb14 0.9773 0.5587 0.5527
Au1 0.0637 0.9151 0.3042
Au2 0.0938 0.9311 0.5939
Au3 0.1233 0.8612 0.8727
Au4 0.5550 0.4712 0.2986
Au5 0.5858 0.4626 0.5872
Au6 0.6166 0.4348 0.8854
S1 0.0091 0.8562 0.7063
S2 0.1905 0.3478 0.3227
S3 0.2143 0.3697 0.6159
S4 0.2630 0.3211 0.9074
S5 0.4695 0.5544 0.1795
S6 0.4760 0.5291 0.4734
S7 0.5087 0.5345 0.7648
S8 0.6907 0.9901 0.2721
S9 0.7223 0.0317 0.5669
S10 0.7608 0.9911 0.8562
S11 0.9679 0.8134 0.1208
S12 0.9762 0.8566 0.4184

=====

Entry 12:
# AgSnAuS3 | OQMD | GGA-PBE | relaxed
# * V: 25.5 A^3/atom
# * E: -3.810 eV/atom
data_AgSnAuS3
_chemical_formula_sum 'Ag2 Sn2 Au2 S6'
_cell_length_a 7.1728
_cell_length_b 7.1728
_cell_length_c 12.1624
_cell_angle_alpha 90.00
_cell_angle_beta 90.00
_cell_angle_gamma 150.76
_space_group_name_H-M_alt 'P 1'
_space_group_IT_number 1
loop_
_space_group_symop_operation_xyz
'x,y,z'
loop_
_atom_site_label
_atom_site_fract_x
_atom_site_fract_y
_atom_site_fract_z
Ag1 0.0925 0.9075 0.7500
Ag2 0.9075 0.0925 0.2500
Sn1 0.2170 0.7830 0.2500
Sn2 0.7830 0.2170 0.7500
Au1 0.5000 0.5000 0.0000
Au2 0.5000 0.5000 0.5000
S1 0.1057 0.8943 0.5477
S2 0.1057 0.8943 0.9523
S3 0.4058 0.5942 0.7500
S4 0.5942 0.4058 0.2500
S5 0.8943 0.1057 0.0477
S6 0.8943 0.1057 0.4523

=====

Entry 13:
# SrAgAuS3 | OQMD | GGA-PBE | relaxed
# * V: 21.0 A^3/atom
# * E: -3.823 eV/atom
data_SrAgAuS3
_chemical_formula_sum 'Sr2 Ag2 Au2 S6'
_cell_length_a 6.7546
_cell_length_b 6.7546
_cell_length_c 9.6580
_cell_angle_alpha 90.00
_cell_angle_beta 90.00
_cell_angle_gamma 145.13
_space_group_name_H-M_alt 'P 1'
_space_group_IT_number 1
loop_
_space_group_symop_operation_xyz
'x,y,z'
loop_
_atom_site_label
_atom_site_fract_x
_atom_site_fract_y
_atom_site_fract_z
Sr1 0.2474 0.7526 0.7500
Sr2 0.7526 0.2474 0.2500
Ag1 0.4619 0.5381 0.2500
Ag2 0.5381 0.4619 0.7500
Au1 0.0000 0.0000 0.0000
Au2 0.0000 0.0000 0.5000
S1 0.0779 0.9221 0.2500
S2 0.3525 0.6475 0.0332
S3 0.3525 0.6475 0.4668
S4 0.6475 0.3525 0.5332
S5 0.6475 0.3525 0.9668
S6 0.9221 0.0779 0.7500

=====

Entry 14:
# Ta2AgAuS4 | OQMD | GGA-PBE | relaxed
# * V: 19.0 A^3/atom
# * E: -6.561 eV/atom
data_Ta2AgAuS4
_chemical_formula_sum 'Ta2 Ag1 Au1 S4'
_cell_length_a 3.3298
_cell_length_b 3.3298
_cell_length_c 15.7970
_cell_angle_alpha 90.00
_cell_angle_beta 90.00
_cell_angle_gamma 120.00
_space_group_name_H-M_alt 'P 1'
_space_group_IT_number 1
loop_
_space_group_symop_operation_xyz
'x,y,z'
loop_
_atom_site_label
_atom_site_fract_x
_atom_site_fract_y
_atom_site_fract_z
Ta1 0.3333 0.6667 0.2522
Ta2 0.6667 0.3333 0.7478
Ag1 0.0000 0.0000 0.0000
Au1 0.0000 0.0000 0.5000
S1 0.0000 0.0000 0.1537
S2 0.0000 0.0000 0.3505
S3 0.0000 0.0000 0.6495
S4 0.0000 0.0000 0.8463

=====

Entry 15:
# AgTe2AuS2 | OQMD | GGA-PBE | relaxed
# * V: 25.4 A^3/atom
# * E: -3.439 eV/atom
data_AgTe2AuS2
_chemical_formula_sum 'Ag2 Te4 Au2 S4'
_cell_length_a 8.7042
_cell_length_b 4.3381
_cell_length_c 9.5050
_cell_angle_alpha 90.00
_cell_angle_beta 121.85
_cell_angle_gamma 90.00
_space_group_name_H-M_alt 'P 1'
_space_group_IT_number 1
loop_
_space_group_symop_operation_xyz
'x,y,z'
loop_
_atom_site_label
_atom_site_fract_x
_atom_site_fract_y
_atom_site_fract_z
Ag1 0.0000 0.0362 0.2500
Ag2 0.0000 0.9638 0.7500
Te1 0.2982 0.0952 0.0577
Te2 0.2982 0.9048 0.5577
Te3 0.7018 0.0952 0.4423
Te4 0.7018 0.9048 0.9423
Au1 0.5000 0.5000 0.0000
Au2 0.5000 0.5000 0.5000
S1 0.2292 0.4292 0.2286
S2 0.2292 0.5708 0.7286
S3 0.7708 0.4292 0.2714
S4 0.7708 0.5708 0.7714

=====

Entry 16:
# Y2AgAuS4 | OQMD | GGA-PBE | relaxed
# * V: 27.2 A^3/atom
# * E: -5.753 eV/atom
data_Y2AgAuS4
_chemical_formula_sum 'Y2 Ag1 Au1 S4'
_cell_length_a 4.1000
_cell_length_b 4.1000
_cell_length_c 14.9519
_cell_angle_alpha 90.00
_cell_angle_beta 90.00
_cell_angle_gamma 120.00
_space_group_name_H-M_alt 'P 1'
_space_group_IT_number 1
loop_
_space_group_symop_operation_xyz
'x,y,z'
loop_
_atom_site_label
_atom_site_fract_x
_atom_site_fract_y
_atom_site_fract_z
Y1 0.0000 0.0000 0.2479
Y2 0.0000 0.0000 0.7521
Ag1 0.3333 0.6667 0.5000
Au1 0.6667 0.3333 0.0000
S1 0.3333 0.6667 0.3422
S2 0.3333 0.6667 0.6578
S3 0.6667 0.3333 0.1543
S4 0.6667 0.3333 0.8457

=====

Entry 17:
# AgSbAu2 | OQMD | GGA-PBE | relaxed
# * V: 20.0 A^3/atom
# * E: -3.274 eV/atom
data_AgSbAu2
_chemical_formula_sum 'Ag1 Sb1 Au2'
_cell_length_a 4.8400
_cell_length_b 4.8400
_cell_length_c 4.8400
_cell_angle_alpha 60.00
_cell_angle_beta 60.00
_cell_angle_gamma 60.00
_space_group_name_H-M_alt 'P 1'
_space_group_IT_number 1
loop_
_space_group_symop_operation_xyz
'x,y,z'
loop_
_atom_site_label
_atom_site_fract_x
_atom_site_fract_y
_atom_site_fract_z
Ag1 0.0000 0.0000 0.0000
Sb1 0.7500 0.7500 0.7500
Au1 0.2500 0.2500 0.2500
Au2 0.5000 0.5000 0.5000

=====

Entry 18:
# AgSb2Au | OQMD | GGA-PBE | relaxed
# * V: 23.1 A^3/atom
# * E: -3.375 eV/atom
data_AgSb2Au
_chemical_formula_sum 'Ag1 Sb2 Au1'
_cell_length_a 5.0740
_cell_length_b 5.0740
_cell_length_c 5.0740
_cell_angle_alpha 60.00
_cell_angle_beta 60.00
_cell_angle_gamma 60.00
_space_group_name_H-M_alt 'P 1'
_space_group_IT_number 1
loop_
_space_group_symop_operation_xyz
'x,y,z'
loop_
_atom_site_label
_atom_site_fract_x
_atom_site_fract_y
_atom_site_fract_z
Ag1 0.0000 0.0000 0.0000
Sb1 0.5000 0.5000 0.5000
Sb2 0.7500 0.7500 0.7500
Au1 0.2500 0.2500 0.2500

=====

Entry 19:
# AgSb4Au | OQMD | GGA-PBE | relaxed
# * V: 25.7 A^3/atom
# * E: -3.732 eV/atom
data_AgSb4Au
_chemical_formula_sum 'Ag1 Sb4 Au1'
_cell_length_a 5.1312
_cell_length_b 4.1709
_cell_length_c 7.2009
_cell_angle_alpha 90.00
_cell_angle_beta 90.01
_cell_angle_gamma 90.00
_space_group_name_H-M_alt 'P 1'
_space_group_IT_number 1
loop_
_space_group_symop_operation_xyz
'x,y,z'
loop_
_atom_site_label
_atom_site_fract_x
_atom_site_fract_y
_atom_site_fract_z
Ag1 0.0000 0.0000 0.0000
Sb1 0.3145 0.5000 0.1725
Sb2 0.3165 0.0000 0.6641
Sb3 0.6835 0.0000 0.3359
Sb4 0.6855 0.5000 0.8275
Au1 0.0000 0.5000 0.5000

=====

Entry 20:
# Sr2AgSb2Au | OQMD | GGA-PBE | relaxed
# * V: 28.6 A^3/atom
# * E: -3.776 eV/atom
data_Sr2AgSb2Au
_chemical_formula_sum 'Sr2 Ag1 Sb2 Au1'
_cell_length_a 4.7798
_cell_length_b 4.7798
_cell_length_c 8.6685
_cell_angle_alpha 90.00
_cell_angle_beta 90.00
_cell_angle_gamma 120.00
_space_group_name_H-M_alt 'P 1'
_space_group_IT_number 1
loop_
_space_group_symop_operation_xyz
'x,y,z'
loop_
_atom_site_label
_atom_site_fract_x
_atom_site_fract_y
_atom_site_fract_z
Sr1 0.0000 0.0000 0.0000
Sr2 0.0000 0.0000 0.4991
Ag1 0.3333 0.6667 0.7615
Sb1 0.3333 0.6667 0.2410
Sb2 0.6667 0.3333 0.7417
Au1 0.6667 0.3333 0.2613